Density functional theory data (PBE) for a relaxed structure of BaLiNd2Hg4.

Electronic total energy   -17.87 eV/cell
ΔH_f (0 K)   -0.412 eV/atom
Volume   29.56 Å³/atom

Cell: 10.1785 10.1785 10.1785 Å, 30.20 30.20 30.20°
Fractional positions:
Ba  0.0000  0.0000  0.0000
Li  0.5000  0.5000  0.5000
Nd  0.2348  0.2348  0.2348
Nd  0.7652  0.7652  0.7652
Hg  0.1268  0.1268  0.1268
Hg  0.3997  0.3997  0.3997
Hg  0.6003  0.6003  0.6003
Hg  0.8732  0.8732  0.8732